# 1
# Dy2IrAu | the Alexandria database | PBE | relaxed
# SG	I4/mmm
data_Dy2IrAu
_chemical_formula_sum 'Dy2 Ir1 Au1'
_space_group_name_H-M_alt 'P 1'
_space_group_IT_number 1
_cell_length_a 4.9558
_cell_length_b 4.9558
_cell_length_c 4.9558
_cell_angle_alpha 119.67
_cell_angle_beta 119.67
_cell_angle_gamma 90.58
loop_
_space_group_symop_operation_xyz
'x,y,z'
loop_
_atom_site_label
_atom_site_type_symbol
_atom_site_fract_x
_atom_site_fract_y
_atom_site_fract_z
Dy1 Dy 0.2500 0.7500 0.5000
Dy2 Dy 0.7500 0.2500 0.5000
Ir1 Ir 0.0000 0.0000 0.0000
Au1 Au 0.5000 0.5000 0.0000



# 2
# Dy3IrAu | the Alexandria database | PBE | relaxed
# SG	Pnma
data_Dy3IrAu
_chemical_formula_sum 'Dy12 Ir4 Au4'
_space_group_name_H-M_alt 'P 1'
_space_group_IT_number 1
_cell_length_a 7.5332
_cell_length_b 4.3736
_cell_length_c 15.3594
_cell_angle_alpha 90.00
_cell_angle_beta 90.00
_cell_angle_gamma 90.00
loop_
_space_group_symop_operation_xyz
'x,y,z'
loop_
_atom_site_label
_atom_site_type_symbol
_atom_site_fract_x
_atom_site_fract_y
_atom_site_fract_z
Dy1 Dy 0.0152 0.2500 0.0979
Dy2 Dy 0.1327 0.7500 0.4453
Dy3 Dy 0.1805 0.2500 0.7210
Dy4 Dy 0.3195 0.7500 0.2210
Dy5 Dy 0.3673 0.2500 0.9453
Dy6 Dy 0.4848 0.7500 0.5979
Dy7 Dy 0.5152 0.2500 0.4021
Dy8 Dy 0.6327 0.7500 0.0547
Dy9 Dy 0.6805 0.2500 0.7790
Dy10 Dy 0.8195 0.7500 0.2790
Dy11 Dy 0.8673 0.2500 0.5547
Dy12 Dy 0.9848 0.7500 0.9021
Ir1 Ir 0.2371 0.7500 0.0447
Ir2 Ir 0.2629 0.2500 0.5447
Ir3 Ir 0.7371 0.7500 0.4553
Ir4 Ir 0.7629 0.2500 0.9553
Au1 Au 0.1108 0.2500 0.3029
Au2 Au 0.3892 0.7500 0.8029
Au3 Au 0.6108 0.2500 0.1971
Au4 Au 0.8892 0.7500 0.6971



# 3
# Dy5Ir2Au2 | the Alexandria database | PBE | relaxed
# SG	Cmce
data_Dy5Ir2Au2
_chemical_formula_sum 'Dy10 Ir4 Au4'
_space_group_name_H-M_alt 'P 1'
_space_group_IT_number 1
_cell_length_a 8.4384
_cell_length_b 8.4384
_cell_length_c 7.6351
_cell_angle_alpha 90.00
_cell_angle_beta 90.00
_cell_angle_gamma 52.80
loop_
_space_group_symop_operation_xyz
'x,y,z'
loop_
_atom_site_label
_atom_site_type_symbol
_atom_site_fract_x
_atom_site_fract_y
_atom_site_fract_z
Dy1 Dy 0.0000 0.0000 0.0000
Dy2 Dy 0.0411 0.7028 0.6688
Dy3 Dy 0.2028 0.5411 0.1688
Dy4 Dy 0.2972 0.9589 0.6688
Dy5 Dy 0.4589 0.7972 0.1688
Dy6 Dy 0.5000 0.5000 0.5000
Dy7 Dy 0.5411 0.2028 0.8312
Dy8 Dy 0.7028 0.0411 0.3312
Dy9 Dy 0.7972 0.4589 0.8312
Dy10 Dy 0.9589 0.2972 0.3312
Ir1 Ir 0.1323 0.8677 0.3673
Ir2 Ir 0.3677 0.6323 0.8673
Ir3 Ir 0.6323 0.3677 0.1327
Ir4 Ir 0.8677 0.1323 0.6327
Au1 Au 0.2067 0.2067 0.0000
Au2 Au 0.2933 0.2933 0.5000
Au3 Au 0.7067 0.7067 0.5000
Au4 Au 0.7933 0.7933 0.0000



# 4
# Dy7Ir2Au2 | the Alexandria database | PBE | relaxed
# SG	Cmmm
data_Dy7Ir2Au2
_chemical_formula_sum 'Dy7 Ir2 Au2'
_space_group_name_H-M_alt 'P 1'
_space_group_IT_number 1
_cell_length_a 6.6847
_cell_length_b 6.6847
_cell_length_c 7.0338
_cell_angle_alpha 90.00
_cell_angle_beta 90.00
_cell_angle_gamma 105.67
loop_
_space_group_symop_operation_xyz
'x,y,z'
loop_
_atom_site_label
_atom_site_type_symbol
_atom_site_fract_x
_atom_site_fract_y
_atom_site_fract_z
Dy1 Dy 0.0000 0.0000 0.0000
Dy2 Dy 0.0000 0.5000 0.2555
Dy3 Dy 0.0000 0.5000 0.7445
Dy4 Dy 0.5000 0.0000 0.2555
Dy5 Dy 0.5000 0.0000 0.7445
Dy6 Dy 0.5000 0.5000 0.2492
Dy7 Dy 0.5000 0.5000 0.7508
Ir1 Ir 0.2855 0.7145 0.0000
Ir2 Ir 0.7145 0.2855 0.0000
Au1 Au 0.1995 0.1995 0.5000
Au2 Au 0.8005 0.8005 0.5000



# 5
# Dy5IrAu4 | the Alexandria database | PBE | relaxed
# SG	P4/mmm
data_Dy5IrAu4
_chemical_formula_sum 'Dy5 Ir1 Au4'
_space_group_name_H-M_alt 'P 1'
_space_group_IT_number 1
_cell_length_a 3.5551
_cell_length_b 3.5551
_cell_length_c 17.9400
_cell_angle_alpha 90.00
_cell_angle_beta 90.00
_cell_angle_gamma 90.00
loop_
_space_group_symop_operation_xyz
'x,y,z'
loop_
_atom_site_label
_atom_site_type_symbol
_atom_site_fract_x
_atom_site_fract_y
_atom_site_fract_z
Dy1 Dy 0.0000 0.0000 0.0000
Dy2 Dy 0.0000 0.0000 0.2047
Dy3 Dy 0.0000 0.0000 0.4092
Dy4 Dy 0.0000 0.0000 0.5908
Dy5 Dy 0.0000 0.0000 0.7953
Ir1 Ir 0.5000 0.5000 0.5000
Au1 Au 0.5000 0.5000 0.1011
Au2 Au 0.5000 0.5000 0.3038
Au3 Au 0.5000 0.5000 0.6962
Au4 Au 0.5000 0.5000 0.8989



# 6
# DyIr4Au | the Alexandria database | PBE | relaxed
# SG	F-43m
data_DyIr4Au
_chemical_formula_sum 'Dy1 Ir4 Au1'
_space_group_name_H-M_alt 'P 1'
_space_group_IT_number 1
_cell_length_a 5.2875
_cell_length_b 5.2875
_cell_length_c 5.2875
_cell_angle_alpha 60.00
_cell_angle_beta 60.00
_cell_angle_gamma 60.00
loop_
_space_group_symop_operation_xyz
'x,y,z'
loop_
_atom_site_label
_atom_site_type_symbol
_atom_site_fract_x
_atom_site_fract_y
_atom_site_fract_z
Dy1 Dy 0.0000 0.0000 0.0000
Ir1 Ir 0.3752 0.3752 0.3752
Ir2 Ir 0.3752 0.3752 0.8744
Ir3 Ir 0.3752 0.8744 0.3752
Ir4 Ir 0.8744 0.3752 0.3752
Au1 Au 0.7500 0.7500 0.7500



# 7
# Dy4IrAu3 | the Alexandria database | PBE | relaxed
# SG	P4/mmm
data_Dy4IrAu3
_chemical_formula_sum 'Dy4 Ir1 Au3'
_space_group_name_H-M_alt 'P 1'
_space_group_IT_number 1
_cell_length_a 3.5440
_cell_length_b 3.5440
_cell_length_c 14.3477
_cell_angle_alpha 90.00
_cell_angle_beta 90.00
_cell_angle_gamma 90.00
loop_
_space_group_symop_operation_xyz
'x,y,z'
loop_
_atom_site_label
_atom_site_type_symbol
_atom_site_fract_x
_atom_site_fract_y
_atom_site_fract_z
Dy1 Dy 0.0000 0.0000 0.1141
Dy2 Dy 0.0000 0.0000 0.3709
Dy3 Dy 0.0000 0.0000 0.6291
Dy4 Dy 0.0000 0.0000 0.8859
Ir1 Ir 0.5000 0.5000 0.0000
Au1 Au 0.5000 0.5000 0.2473
Au2 Au 0.5000 0.5000 0.5000
Au3 Au 0.5000 0.5000 0.7527



# 8
# Dy3IrAu | the Alexandria database | PBE | relaxed
# SG	P-1
data_Dy3IrAu
_chemical_formula_sum 'Dy6 Ir2 Au2'
_space_group_name_H-M_alt 'P 1'
_space_group_IT_number 1
_cell_length_a 5.5171
_cell_length_b 6.6908
_cell_length_c 7.9763
_cell_angle_alpha 101.99
_cell_angle_beta 99.87
_cell_angle_gamma 113.38
loop_
_space_group_symop_operation_xyz
'x,y,z'
loop_
_atom_site_label
_atom_site_type_symbol
_atom_site_fract_x
_atom_site_fract_y
_atom_site_fract_z
Dy1 Dy 0.0509 0.2109 0.3168
Dy2 Dy 0.3201 0.8545 0.1444
Dy3 Dy 0.3238 0.4572 0.7635
Dy4 Dy 0.6762 0.5428 0.2365
Dy5 Dy 0.6799 0.1455 0.8556
Dy6 Dy 0.9491 0.7891 0.6832
Ir1 Ir 0.2373 0.1775 0.9818
Ir2 Ir 0.7627 0.8225 0.0182
Au1 Au 0.3738 0.7399 0.4905
Au2 Au 0.6262 0.2601 0.5095



# 9
# Dy4IrAu2 | the Alexandria database | PBE | relaxed
# SG	R-3m
data_Dy4IrAu2
_chemical_formula_sum 'Dy4 Ir1 Au2'
_space_group_name_H-M_alt 'P 1'
_space_group_IT_number 1
_cell_length_a 8.6670
_cell_length_b 8.6670
_cell_length_c 8.6670
_cell_angle_alpha 33.40
_cell_angle_beta 33.40
_cell_angle_gamma 33.40
loop_
_space_group_symop_operation_xyz
'x,y,z'
loop_
_atom_site_label
_atom_site_type_symbol
_atom_site_fract_x
_atom_site_fract_y
_atom_site_fract_z
Dy1 Dy 0.1208 0.1208 0.1208
Dy2 Dy 0.3712 0.3712 0.3712
Dy3 Dy 0.6288 0.6288 0.6288
Dy4 Dy 0.8792 0.8792 0.8792
Ir1 Ir 0.0000 0.0000 0.0000
Au1 Au 0.2429 0.2429 0.2429
Au2 Au 0.7571 0.7571 0.7571



# 10
# Dy12Ir2Au5 | the Alexandria database | PBE | relaxed
# SG	C2/m
data_Dy12Ir2Au5
_chemical_formula_sum 'Dy12 Ir2 Au5'
_space_group_name_H-M_alt 'P 1'
_space_group_IT_number 1
_cell_length_a 8.9557
_cell_length_b 8.9557
_cell_length_c 9.1881
_cell_angle_alpha 103.71
_cell_angle_beta 103.71
_cell_angle_gamma 49.75
loop_
_space_group_symop_operation_xyz
'x,y,z'
loop_
_atom_site_label
_atom_site_type_symbol
_atom_site_fract_x
_atom_site_fract_y
_atom_site_fract_z
Dy1 Dy 0.0009 0.0009 0.2464
Dy2 Dy 0.0632 0.5924 0.8976
Dy3 Dy 0.1066 0.6051 0.4375
Dy4 Dy 0.3949 0.8934 0.5625
Dy5 Dy 0.4076 0.9368 0.1024
Dy6 Dy 0.4785 0.4785 0.1787
Dy7 Dy 0.5215 0.5215 0.8213
Dy8 Dy 0.5924 0.0632 0.8976
Dy9 Dy 0.6051 0.1066 0.4375
Dy10 Dy 0.8934 0.3949 0.5625
Dy11 Dy 0.9368 0.4076 0.1024
Dy12 Dy 0.9991 0.9991 0.7536
Ir1 Ir 0.2152 0.7848 0.0000
Ir2 Ir 0.7848 0.2152 0.0000
Au1 Au 0.1884 0.1884 0.8374
Au2 Au 0.2079 0.2079 0.3670
Au3 Au 0.5000 0.5000 0.5000
Au4 Au 0.7921 0.7921 0.6330
Au5 Au 0.8116 0.8116 0.1626



# 11
# Dy2IrAu | the Alexandria database | PBE | relaxed
# SG	P4/mmm
data_Dy2IrAu
_chemical_formula_sum 'Dy2 Ir1 Au1'
_space_group_name_H-M_alt 'P 1'
_space_group_IT_number 1
_cell_length_a 3.5183
_cell_length_b 3.5183
_cell_length_c 7.0367
_cell_angle_alpha 90.00
_cell_angle_beta 90.00
_cell_angle_gamma 90.00
loop_
_space_group_symop_operation_xyz
'x,y,z'
loop_
_atom_site_label
_atom_site_type_symbol
_atom_site_fract_x
_atom_site_fract_y
_atom_site_fract_z
Dy1 Dy 0.0000 0.0000 0.2332
Dy2 Dy 0.0000 0.0000 0.7668
Ir1 Ir 0.5000 0.5000 0.0000
Au1 Au 0.5000 0.5000 0.5000



# 12
# DyIrAu | the Alexandria database | PBE | relaxed
# SG	I4/mmm
data_DyIrAu
_chemical_formula_sum 'Dy2 Ir2 Au2'
_space_group_name_H-M_alt 'P 1'
_space_group_IT_number 1
_cell_length_a 10.4066
_cell_length_b 10.4066
_cell_length_c 10.4066
_cell_angle_alpha 159.99
_cell_angle_beta 159.99
_cell_angle_gamma 28.45
loop_
_space_group_symop_operation_xyz
'x,y,z'
loop_
_atom_site_label
_atom_site_type_symbol
_atom_site_fract_x
_atom_site_fract_y
_atom_site_fract_z
Dy1 Dy 0.1456 0.1456 0.0000
Dy2 Dy 0.8544 0.8544 0.0000
Ir1 Ir 0.2904 0.2904 0.0000
Ir2 Ir 0.7096 0.7096 0.0000
Au1 Au 0.4346 0.4346 0.0000
Au2 Au 0.5654 0.5654 0.0000



# 13
# Dy2IrAu | the Alexandria database | PBE | relaxed
# SG	R-3m
data_Dy2IrAu
_chemical_formula_sum 'Dy2 Ir1 Au1'
_space_group_name_H-M_alt 'P 1'
_space_group_IT_number 1
_cell_length_a 7.3031
_cell_length_b 7.3031
_cell_length_c 7.3031
_cell_angle_alpha 32.31
_cell_angle_beta 32.31
_cell_angle_gamma 32.31
loop_
_space_group_symop_operation_xyz
'x,y,z'
loop_
_atom_site_label
_atom_site_type_symbol
_atom_site_fract_x
_atom_site_fract_y
_atom_site_fract_z
Dy1 Dy 0.2394 0.2394 0.2394
Dy2 Dy 0.7606 0.7606 0.7606
Ir1 Ir 0.5000 0.5000 0.5000
Au1 Au 0.0000 0.0000 0.0000



Energy relative to the elements for the records above, in order: -0.83; -0.78; -0.83; -0.57; -0.85; -0.25; -0.85; -0.71; -0.71; -0.58; -0.84; -0.37; -0.73 eV per atom
V for the records above, in order: 21.62; 25.30; 24.06; 27.51; 22.67; 17.42; 22.53; 25.36; 25.09; 28.57; 21.78; 21.99; 24.73 A^3/atom